DFT (PBE-GGA) results for a relaxed LiLuSnPd crystal.

Output
The calculation puts the uncorrected energy at -17.9 eV for the cell shown. For the energy relative to the lowest polymorph listed for this composition, the calculation gives 221 meV/atom. The space group is No. 216. As for the theoretical density: 8.9 Mg/m³.

Unit cell a=4.761 b=4.761 c=4.761 alpha=60.00 beta=60.00 gamma=60.00
Fractional positions:
Li 0.750 0.750 0.750
Lu 0.000 0.000 0.000
Pd 0.500 0.500 0.500
Sn 0.250 0.250 0.250